1.
Computed, not measured: a geometry-optimized InTc4As structure at the GGA-PBE level of DFT.

Structure (POSCAR):
```
InTc4As
1.0
0.0000 3.7024 3.7024
3.7024 0.0000 3.7024
3.7024 3.7024 0.0000
In Tc As
1 4 1
direct
0.0000 0.0000 0.0000
0.1277 0.6241 0.6241
0.6241 0.1277 0.6241
0.6241 0.6241 0.1277
0.6241 0.6241 0.6241
0.2500 0.2500 0.2500
```

The electronic total energy comes out at -46.13 eV for the cell shown. As for the formation energy from the elements: 0.45 eV/atom. As for the density of states at the Fermi level: 0.7746 states/eV/atom.


2.
Computed, not measured: a geometry-optimized ZrIn2TcAs structure at the GGA-PBE level of DFT.

Structure (POSCAR):
```
ZrIn2TcAs
1.0
5.6761 0.0000 0.0000
0.0000 5.6761 0.0000
0.0000 0.0000 5.1576
Zr In Tc As
1 2 1 1
direct
0.0000 0.0000 0.0000
0.0000 0.5000 0.0000
0.5000 0.0000 0.0000
0.5000 0.5000 0.5000
0.0000 0.0000 0.5000
```

The electronic total energy comes out at -23.32 eV for the cell shown. As for the formation energy from the elements: 1.14 eV/atom. As for the density of states at the Fermi level: 0.7349 states/eV/atom.


3.
Computed, not measured: a geometry-optimized In2Te6As structure at the GGA-PBE level of DFT.

Structure (POSCAR):
```
In2Te6As
1.0
6.5952 -6.1915 0.0000
6.5952 6.1915 0.0000
-1.3312 0.0000 7.6103
In Te As
4 12 2
direct
0.0944 0.2840 0.2862
0.2840 0.0944 0.7862
0.7160 0.9056 0.2138
0.9056 0.7160 0.7138
0.0039 0.1582 0.5818
0.1235 0.5194 0.8677
0.1582 0.0039 0.0818
0.2965 0.5104 0.3882
0.4806 0.8765 0.6323
0.4896 0.7035 0.1118
0.5104 0.2965 0.8882
0.5194 0.1235 0.3677
0.7035 0.4896 0.6118
0.8418 0.9961 0.9182
0.8765 0.4806 0.1323
0.9961 0.8418 0.4182
0.4319 0.5681 0.7500
0.5681 0.4319 0.2500
```

For the formation energy without anion corrections, the calculation gives -0.04 eV per atom. The electronic total energy comes out at -58.69 eV for the cell shown. As for the density of states at the Fermi level: 0.3547 states/eV/atom.


4.
Computed, not measured: a geometry-optimized In2TeAs2 structure at the GGA-PBE level of DFT.

Structure (POSCAR):
```
In2TeAs2
1.0
8.7920 0.0000 0.0000
0.0000 8.7920 0.0000
0.0000 0.0000 3.1564
In Te As
4 2 4
direct
0.1636 0.3364 0.0000
0.3364 0.8364 0.0000
0.6636 0.1636 0.0000
0.8364 0.6636 0.0000
0.0000 0.0000 0.0000
0.5000 0.5000 0.0000
0.1338 0.6338 0.5000
0.3662 0.1338 0.5000
0.6338 0.8662 0.5000
0.8662 0.3662 0.5000
```

For the formation energy without anion corrections, the calculation gives 0.20 eV per atom. The electronic total energy comes out at -33.81 eV for the cell shown. As for the density of states at the Fermi level: 0.7574 states/eV/atom.


5.
Computed, not measured: a geometry-optimized InTe3As structure at the GGA-PBE level of DFT.

Structure (POSCAR):
```
InTe3As
1.0
7.1300 0.0000 0.0000
0.0000 4.2335 0.0000
-0.0233 0.0000 10.3345
In Te As
2 6 2
direct
0.0891 0.2500 0.3198
0.9109 0.7500 0.6802
0.0828 0.2500 0.8417
0.2541 0.7500 0.5020
0.4421 0.2500 0.1605
0.5579 0.7500 0.8395
0.7459 0.2500 0.4980
0.9172 0.7500 0.1583
0.4026 0.2500 0.6950
0.5974 0.7500 0.3050
```

For the formation energy without anion corrections, the calculation gives -0.13 eV per atom. The electronic total energy comes out at -34.93 eV for the cell shown. As for the density of states at the Fermi level: 0.3120 states/eV/atom.


6.
Computed, not measured: a geometry-optimized InTeAs structure at the GGA-PBE level of DFT.

Structure (POSCAR):
```
InTeAs
1.0
-1.9328 1.9328 5.8790
1.9328 -1.9328 5.8790
1.9328 1.9328 -5.8790
In Te As
1 1 1
direct
0.0000 0.0000 0.0000
0.7219 0.7219 0.0000
0.3025 0.3025 0.0000
```

For the formation energy without anion corrections, the calculation gives 0.13 eV per atom. The electronic total energy comes out at -10.13 eV for the cell shown. As for the density of states at the Fermi level: 0.4056 states/eV/atom.


7.
Computed, not measured: a geometry-optimized InTe3As structure at the GGA-PBE level of DFT.

Structure (POSCAR):
```
InTe3As
1.0
8.2589 -2.0334 0.0000
8.2589 2.0334 0.0000
-5.6366 0.0000 11.0903
In Te As
2 6 2
direct
0.1611 0.1611 0.3788
0.8389 0.8389 0.6212
0.1557 0.1557 0.9341
0.3529 0.3529 0.4553
0.4154 0.4154 0.8163
0.5846 0.5846 0.1837
0.6471 0.6471 0.5447
0.8443 0.8443 0.0659
0.4361 0.4361 0.2177
0.5639 0.5639 0.7823
```

For the formation energy without anion corrections, the calculation gives -0.06 eV per atom. The electronic total energy comes out at -34.25 eV for the cell shown. As for the density of states at the Fermi level: 0.1916 states/eV/atom.


8.
Computed, not measured: a geometry-optimized In3TeAs structure at the GGA-PBE level of DFT.

Structure (POSCAR):
```
In3TeAs
1.0
5.7704 0.0000 0.0000
0.0000 5.7704 0.0000
0.0000 0.0000 5.7704
In Te As
3 1 1
direct
0.0000 0.0000 0.5000
0.0000 0.5000 0.0000
0.5000 0.0000 0.0000
0.0000 0.0000 0.0000
0.5000 0.5000 0.5000
```

For the formation energy without anion corrections, the calculation gives 0.68 eV per atom. The electronic total energy comes out at -12.61 eV for the cell shown. As for the density of states at the Fermi level: 0.8094 states/eV/atom.


9.
Computed, not measured: a geometry-optimized In2TeAs2 structure at the GGA-PBE level of DFT.

Structure (POSCAR):
```
In2TeAs2
1.0
-2.6674 2.6674 4.5075
2.6674 -2.6674 4.5075
2.6674 2.6674 -4.5075
In Te As
2 1 2
direct
0.2500 0.7500 0.5000
0.7500 0.2500 0.5000
0.0000 0.0000 0.0000
0.3585 0.3585 0.0000
0.6415 0.6415 0.0000
```

For the formation energy without anion corrections, the calculation gives 0.01 eV per atom. The electronic total energy comes out at -17.87 eV for the cell shown. As for the density of states at the Fermi level: 0.8074 states/eV/atom.


10.
Computed, not measured: a geometry-optimized In2TeAs2 structure at the GGA-PBE level of DFT.

Structure (POSCAR):
```
In2TeAs2
1.0
8.0648 0.0000 0.0000
0.0000 8.0648 0.0000
0.0000 0.0000 3.8618
In Te As
4 2 4
direct
0.1432 0.3568 0.0000
0.3568 0.8568 0.0000
0.6432 0.1432 0.0000
0.8568 0.6432 0.0000
0.0000 0.0000 0.5000
0.5000 0.5000 0.5000
0.1656 0.6656 0.5000
0.3344 0.1656 0.5000
0.6656 0.8344 0.5000
0.8344 0.3344 0.5000
```

For the formation energy without anion corrections, the calculation gives 0.10 eV per atom. The electronic total energy comes out at -34.88 eV for the cell shown. As for the density of states at the Fermi level: 0.4775 states/eV/atom.


11.
Computed, not measured: a geometry-optimized In3TeAs structure at the GGA-PBE level of DFT.

Structure (POSCAR):
```
In3TeAs
1.0
5.4730 0.0000 0.0000
0.0000 5.4730 0.0000
0.0000 0.0000 5.4730
In Te As
3 1 1
direct
0.0000 0.0000 0.5000
0.0000 0.5000 0.0000
0.5000 0.0000 0.0000
0.5000 0.5000 0.5000
0.0000 0.0000 0.0000
```

For the formation energy without anion corrections, the calculation gives 0.11 eV per atom. The electronic total energy comes out at -15.48 eV for the cell shown. As for the density of states at the Fermi level: 0.2662 states/eV/atom.


12.
Computed, not measured: a geometry-optimized InTeAs structure at the GGA-PBE level of DFT.

Structure (POSCAR):
```
InTeAs
1.0
-1.6144 2.5255 5.5449
1.6144 -2.5255 5.5449
1.6144 2.5255 -5.5449
In Te As
1 1 1
direct
0.0000 0.0000 0.0000
0.6849 0.6849 0.0000
0.4469 0.4469 0.0000
```

For the formation energy without anion corrections, the calculation gives 0.16 eV per atom. The electronic total energy comes out at -10.04 eV for the cell shown. As for the density of states at the Fermi level: 0.5468 states/eV/atom.


13.
Computed, not measured: a geometry-optimized InTeAs structure at the GGA-PBE level of DFT.

Structure (POSCAR):
```
InTeAs
1.0
0.0000 2.1535 9.9753
2.0767 0.0000 9.9753
2.0767 2.1535 0.0000
In Te As
1 1 1
direct
0.0000 0.0000 0.0000
0.3186 0.3186 0.6814
0.6212 0.6212 0.3788
```

For the formation energy without anion corrections, the calculation gives 0.21 eV per atom. The electronic total energy comes out at -9.90 eV for the cell shown. As for the density of states at the Fermi level: 0.3515 states/eV/atom.


14.
Computed, not measured: a geometry-optimized InTe3As structure at the GGA-PBE level of DFT.

Structure (POSCAR):
```
InTe3As
1.0
5.5127 0.0000 0.0000
0.0000 5.5127 0.0000
0.0000 0.0000 5.5127
In Te As
1 3 1
direct
0.0000 0.0000 0.0000
0.0000 0.5000 0.5000
0.5000 0.0000 0.5000
0.5000 0.5000 0.0000
0.5000 0.5000 0.5000
```

For the formation energy without anion corrections, the calculation gives 0.26 eV per atom. The electronic total energy comes out at -15.53 eV for the cell shown. As for the density of states at the Fermi level: 0.9533 states/eV/atom.


15.
Computed, not measured: a geometry-optimized In2TeAs2 structure at the GGA-PBE level of DFT.

Structure (POSCAR):
```
In2TeAs2
1.0
-1.9666 1.9666 8.3482
1.9666 -1.9666 8.3482
1.9666 1.9666 -8.3482
In Te As
2 1 2
direct
0.1036 0.1036 0.0000
0.8964 0.8964 0.0000
0.5000 0.5000 0.0000
0.2500 0.7500 0.5000
0.7500 0.2500 0.5000
```

For the formation energy without anion corrections, the calculation gives 0.02 eV per atom. The electronic total energy comes out at -17.81 eV for the cell shown. As for the density of states at the Fermi level: 0.3965 states/eV/atom.


16.
Computed, not measured: a geometry-optimized InTeAs structure at the GGA-PBE level of DFT.

Structure (POSCAR):
```
InTeAs
1.0
0.0000 3.5338 3.5338
3.5338 0.0000 3.5338
3.5338 3.5338 0.0000
In Te As
1 1 1
direct
0.0000 0.0000 0.0000
0.5000 0.5000 0.5000
0.2500 0.2500 0.2500
```

For the formation energy without anion corrections, the calculation gives 0.24 eV per atom. The electronic total energy comes out at -9.82 eV for the cell shown. As for the density of states at the Fermi level: 1.5608 states/eV/atom.


17.
Computed, not measured: a geometry-optimized InTeAs structure at the GGA-PBE level of DFT.

Structure (POSCAR):
```
InTeAs
1.0
4.2310 0.0000 0.0000
-2.1155 3.6642 0.0000
0.0000 0.0000 5.1504
In Te As
1 1 1
direct
0.0000 0.0000 0.0000
0.6667 0.3333 0.3611
0.3333 0.6667 0.7219
```

For the formation energy without anion corrections, the calculation gives 0.02 eV per atom. The electronic total energy comes out at -10.47 eV for the cell shown. As for the density of states at the Fermi level: 0.6317 states/eV/atom.


18.
Computed, not measured: a geometry-optimized InTe4As structure at the GGA-PBE level of DFT.

Structure (POSCAR):
```
InTe4As
1.0
0.0000 4.4863 4.4863
4.4863 0.0000 4.4863
4.4863 4.4863 0.0000
In Te As
1 4 1
direct
0.0000 0.0000 0.0000
0.1289 0.6237 0.6237
0.6237 0.1289 0.6237
0.6237 0.6237 0.1289
0.6237 0.6237 0.6237
0.2500 0.2500 0.2500
```

For the formation energy without anion corrections, the calculation gives 0.50 eV per atom. The electronic total energy comes out at -16.93 eV for the cell shown. As for the density of states at the Fermi level: 0.8183 states/eV/atom.


19.
Computed, not measured: a geometry-optimized InTe3As structure at the GGA-PBE level of DFT.

Structure (POSCAR):
```
InTe3As
1.0
5.5994 0.0000 0.0000
0.0000 5.5994 0.0000
0.0000 0.0000 5.5994
In Te As
1 3 1
direct
0.0000 0.0000 0.0000
0.0000 0.0000 0.5000
0.0000 0.5000 0.0000
0.5000 0.0000 0.0000
0.5000 0.5000 0.5000
```

For the formation energy without anion corrections, the calculation gives 0.80 eV per atom. The electronic total energy comes out at -12.82 eV for the cell shown. As for the density of states at the Fermi level: 1.3417 states/eV/atom.


20.
Computed, not measured: a geometry-optimized In12Te5As3 structure at the GGA-PBE level of DFT.

Structure (POSCAR):
```
In12Te5As3
1.0
-8.9198 8.9198 8.9198
8.9198 -8.9198 8.9198
8.9198 8.9198 -8.9198
In Te As
48 20 12
direct
0.0680 0.2287 0.1581
0.0680 0.3393 0.9099
0.0706 0.7287 0.6607
0.0706 0.8419 0.4099
0.0901 0.6581 0.4294
0.0901 0.9320 0.6607
0.1581 0.0680 0.2287
0.1581 0.5901 0.9294
0.1607 0.2287 0.5706
0.1607 0.4320 0.5901
0.2287 0.1581 0.0680
0.2287 0.5706 0.1607
0.2713 0.3393 0.9294
0.2713 0.4320 0.3419
0.3393 0.9099 0.0680
0.3393 0.9294 0.2713
0.3419 0.2713 0.4320
0.3419 0.5706 0.9099
0.4099 0.0706 0.8419
0.4099 0.8393 0.5680
0.4294 0.0901 0.6581
0.4294 0.8393 0.7713
0.4320 0.3419 0.2713
0.4320 0.5901 0.1607
0.5680 0.4099 0.8393
0.5680 0.6581 0.7287
0.5706 0.1607 0.2287
0.5706 0.9099 0.3419
0.5901 0.1607 0.4320
0.5901 0.9294 0.1581
0.6581 0.4294 0.0901
0.6581 0.7287 0.5680
0.6607 0.0706 0.7287
0.6607 0.0901 0.9320
0.7287 0.5680 0.6581
0.7287 0.6607 0.0706
0.7713 0.4294 0.8393
0.7713 0.8419 0.9320
0.8393 0.5680 0.4099
0.8393 0.7713 0.4294
0.8419 0.4099 0.0706
0.8419 0.9320 0.7713
0.9099 0.0680 0.3393
0.9099 0.3419 0.5706
0.9294 0.1581 0.5901
0.9294 0.2713 0.3393
0.9320 0.6607 0.0901
0.9320 0.7713 0.8419
0.0000 0.0000 0.0000
0.0000 0.0000 0.5000
0.0000 0.5000 0.0000
0.0000 0.5000 0.5000
0.1250 0.7500 0.8750
0.1250 0.8750 0.2500
0.2500 0.1250 0.8750
0.2500 0.6250 0.3750
0.3750 0.2500 0.6250
0.3750 0.6250 0.7500
0.5000 0.0000 0.0000
0.5000 0.0000 0.5000
0.5000 0.5000 0.0000
0.5000 0.5000 0.5000
0.6250 0.3750 0.2500
0.6250 0.7500 0.3750
0.7500 0.3750 0.6250
0.7500 0.8750 0.1250
0.8750 0.1250 0.7500
0.8750 0.2500 0.1250
0.1250 0.2500 0.3750
0.1250 0.3750 0.7500
0.2500 0.3750 0.1250
0.2500 0.8750 0.6250
0.3750 0.1250 0.2500
0.3750 0.7500 0.1250
0.6250 0.2500 0.8750
0.6250 0.8750 0.7500
0.7500 0.1250 0.3750
0.7500 0.6250 0.8750
0.8750 0.6250 0.2500
0.8750 0.7500 0.6250
```

For the formation energy without anion corrections, the calculation gives 0.00 eV per atom. The electronic total energy comes out at -249.95 eV for the cell shown. As for the density of states at the Fermi level: 0.6244 states/eV/atom.